# 1
First-principles (PBEsol) data for an optimized crystal structure of MgTlCd2, as listed in Alexandria.

## Properties
**Magnetic moment**: 0.0 Bohr magnetons per cell
**Excess energy over the best structure of this formula in the dataset**: 0.021 eV per atom
**DFT formation energy**: -5 meV/atom

abc: 3.345 4.891 5.644
angles: 90.00 90.14 90.00
Fractional coordinates of all 4 atoms:
Cd 0.877 0.500 0.288
Cd 0.873 0.000 0.978
Tl 0.373 0.500 0.784
Mg 0.377 0.000 0.449

=====

# 2
First-principles (PBEsol) data for an optimized crystal structure of MgTlCd2, as listed in Alexandria.

## Properties
**Magnetic moment**: 0.0 Bohr magnetons per cell
**Excess energy over the best structure of this formula in the dataset**: 0.012 eV per atom
**DFT formation energy**: -15 meV/atom

abc: 3.446 5.398 5.398
angles: 113.69 90.00 90.00
Fractional coordinates of all 4 atoms:
Cd 0.000 0.500 0.000
Cd 0.000 0.000 0.500
Mg 0.500 0.000 0.000
Tl 0.500 0.500 0.500

=====

# 3
First-principles (PBEsol) data for an optimized crystal structure of MgTlCd, as listed in Alexandria.

## Properties
**Magnetic moment**: 0.0 Bohr magnetons per cell
**Excess energy over the best structure of this formula in the dataset**: 0.000 eV per atom
**DFT formation energy**: -27 meV/atom

abc: 3.465 3.465 6.314
angles: 105.92 105.92 90.00
Fractional coordinates of all 3 atoms:
Cd 0.009 0.009 0.017
Tl 0.332 0.332 0.663
Mg 0.660 0.660 0.319

=====

# 4
First-principles (PBEsol) data for an optimized crystal structure of MgTlCd2, as listed in Alexandria.

## Properties
**Magnetic moment**: 0.0 Bohr magnetons per cell
**Excess energy over the best structure of this formula in the dataset**: 0.012 eV per atom
**DFT formation energy**: -15 meV/atom

abc: 3.190 5.373 5.708
angles: 102.12 90.00 107.27
Fractional coordinates of all 4 atoms:
Cd 0.248 0.496 0.758
Cd 0.996 0.991 0.978
Tl 0.751 0.502 0.261
Mg 0.505 0.010 0.503

=====

# 5
First-principles (PBEsol) data for an optimized crystal structure of MgTlCd, as listed in Alexandria.

## Properties
**Magnetic moment**: 0.0 Bohr magnetons per cell
**Excess energy over the best structure of this formula in the dataset**: 0.000 eV per atom
**DFT formation energy**: -26 meV/atom

abc: 3.406 4.339 5.453
angles: 113.44 108.20 90.00
Fractional coordinates of all 3 atoms:
Cd 0.003 0.003 0.006
Tl 0.333 0.333 0.667
Mg 0.664 0.664 0.328

=====

# 6
First-principles (PBEsol) data for an optimized crystal structure of MgTlCd2, as listed in Alexandria.

## Properties
**Magnetic moment**: 0.0 Bohr magnetons per cell
**Excess energy over the best structure of this formula in the dataset**: 0.008 eV per atom
**DFT formation energy**: -18 meV/atom

abc: 4.524 4.524 5.437
angles: 114.58 114.58 90.00
Fractional coordinates of all 4 atoms:
Mg 0.500 0.500 0.000
Cd 0.750 0.250 0.500
Cd 0.000 0.000 0.000
Tl 0.250 0.750 0.500

=====

# 7
First-principles (PBEsol) data for an optimized crystal structure of MgTlCd4, as listed in Alexandria.

## Properties
**Magnetic moment**: 0.0 Bohr magnetons per cell
**DFT formation energy**: 17 meV/atom

abc: 5.810 5.810 5.810
angles: 60.00 60.00 60.00
Fractional coordinates of all 6 atoms:
Mg 0.750 0.750 0.750
Cd 0.375 0.874 0.375
Cd 0.375 0.375 0.874
Cd 0.375 0.375 0.375
Cd 0.874 0.375 0.375
Tl 0.000 0.000 0.000

=====

# 8
First-principles (PBEsol) data for an optimized crystal structure of MgTlCd2, as listed in Alexandria.

## Properties
**Magnetic moment**: 0.0 Bohr magnetons per cell
**Excess energy over the best structure of this formula in the dataset**: 0.012 eV per atom
**DFT formation energy**: -15 meV/atom

abc: 3.359 4.265 6.333
angles: 90.00 90.00 90.00
Fractional coordinates of all 4 atoms:
Mg 0.000 0.000 0.493
Tl 0.500 0.500 0.745
Cd 0.500 0.500 0.247
Cd 0.000 0.000 0.014